Zn2NiPb after structural relaxation, computed with PBE.

Energy of formation from the pure elements   238.2 meV per atom
V   18.43 A^3/atom
Space group   No. 160

Unit cell a=8.603 b=8.603 c=8.603 alpha=21.32 beta=21.32 gamma=21.32
Positions (direct):
Ni (0.509, 0.509, 0.509)
Zn (0.990, 0.990, 0.990)
Pb (0.760, 0.760, 0.760)
Zn (0.242, 0.242, 0.242)